Na2MgVF7 | meta-GGA SCAN | single point on PBEsol structure

Summary:
Its volume is 12.4 Å³ per atom. The space group is Imma. The value obtained for the total energy is -92.2 eV per formula unit.

a = 7.2797 Å, b = 7.2797 Å, c = 7.2797 Å
α = 120.60°, β = 90.46°, γ = 118.87°
Positions (direct):
Na1 0.0000 0.0000 0.0000
Na2 0.5000 0.0000 0.0000
Na3 0.5000 0.0000 0.5000
Na4 0.5000 0.5000 0.5000
Mg1 0.0000 0.0000 0.5000
Mg2 0.0000 0.5000 0.0000
V1 0.0000 0.5000 0.5000
V2 0.5000 0.5000 0.0000
F1 0.0527 0.2359 0.4154
F2 0.0527 0.6374 0.8169
F3 0.0930 0.8430 0.2500
F4 0.3205 0.2359 0.6831
F5 0.3205 0.6374 0.0846
F6 0.3223 0.7292 0.5931
F7 0.3639 0.2708 0.0931
F8 0.6361 0.7292 0.9069
F9 0.6777 0.2708 0.4069
F10 0.6795 0.3626 0.9154
F11 0.6795 0.7641 0.3169
F12 0.9070 0.1570 0.7500
F13 0.9473 0.3626 0.1831
F14 0.9473 0.7641 0.5846